(1)
DFT (PBE-GGA) results for a geometry-optimized Sm2Tl3 structure.

The structure in POSCAR format:
```
Sm2Tl3
1.0
0.000 7.985 3.202
5.596 0.000 3.202
5.596 7.985 0.000
Sm Tl
4 6
direct
0.242 0.758 0.364
0.614 0.886 0.492
0.758 0.242 0.636
0.886 0.614 0.008
0.152 0.812 0.068
0.182 0.282 0.098
0.282 0.182 0.438
0.387 0.387 0.613
0.637 0.637 0.863
0.812 0.152 0.968
```

Electronic total energy = -36.30 eV/cell
Symmetry = Fdd2
Formation enthalpy at 0 K = -0.32 eV per atom
Crystal system = orthorhombic
Polymorph energy (0 for the lowest one) = 0 meV per atom



(2)
DFT (PBE-GGA) results for a geometry-optimized GeBi2Au structure.

The structure in POSCAR format:
```
GeBi2Au
1.0
-3.301 3.301 6.227
3.301 -3.301 6.227
3.301 3.301 -6.227
Ge Bi Au
2 4 2
direct
0.000 0.000 0.000
0.750 0.250 0.500
0.126 0.625 0.001
0.375 0.376 0.501
0.624 0.125 0.999
0.875 0.874 0.499
0.250 0.750 0.500
0.500 0.500 0.000
```

Electronic total energy = -30.16 eV/cell
Symmetry = I-42d
Formation enthalpy at 0 K = 0.14 eV per atom
Crystal system = tetragonal



(3)
DFT (PBE-GGA) results for a geometry-optimized Li3PmGa3 structure.

The structure in POSCAR format:
```
Li3PmGa3
1.0
3.999 2.309 4.875
-3.999 2.309 4.875
0.000 -4.617 4.875
Li Pm Ga
6 2 6
direct
0.199 0.456 0.649
0.351 0.801 0.544
0.456 0.649 0.199
0.544 0.351 0.801
0.649 0.199 0.456
0.801 0.544 0.351
0.204 0.204 0.204
0.796 0.796 0.796
0.050 0.771 0.330
0.229 0.670 0.950
0.330 0.050 0.771
0.670 0.950 0.229
0.771 0.330 0.050
0.950 0.229 0.670
```

Electronic total energy = -42.64 eV/cell
Symmetry = R-3
Formation enthalpy at 0 K = -0.25 eV per atom
Crystal system = trigonal
Polymorph energy (0 for the lowest one) = 91 meV per atom



(4)
DFT (PBE-GGA) results for a geometry-optimized Ac6Ni2RuI3 structure.

The structure in POSCAR format:
```
Ac6Ni2RuI3
1.0
3.762 -6.517 0.000
3.762 6.517 0.000
-2.510 0.000 8.656
Ac Ni Ru I
6 2 1 3
direct
0.061 0.391 0.184
0.268 0.268 0.816
0.391 0.061 0.184
0.609 0.939 0.816
0.732 0.732 0.184
0.939 0.609 0.816
0.333 0.667 0.000
0.667 0.333 0.000
0.000 0.000 0.000
0.166 0.834 0.500
0.500 0.500 0.500
0.834 0.166 0.500
```

Electronic total energy = -59.12 eV/cell
Formation energy (no corrections) = -866 kJ/mol of formula units
Symmetry = C2/m
Crystal system = monoclinic



(5)
DFT (PBE-GGA) results for a geometry-optimized AcCd12Pt6 structure.

The structure in POSCAR format:
```
AcCd12Pt6
1.0
6.201 3.580 3.142
-6.201 3.580 3.142
0.000 -7.160 3.142
Ac Cd Pt
1 12 6
direct
0.000 0.000 0.000
0.114 0.500 0.886
0.114 0.886 0.500
0.150 0.407 0.407
0.407 0.150 0.407
0.407 0.407 0.150
0.500 0.114 0.886
0.500 0.886 0.114
0.593 0.593 0.850
0.593 0.850 0.593
0.850 0.593 0.593
0.886 0.114 0.500
0.886 0.500 0.114
0.271 0.271 0.706
0.271 0.706 0.271
0.294 0.729 0.729
0.706 0.271 0.271
0.729 0.294 0.729
0.729 0.729 0.294
```

Electronic total energy = -55.98 eV/cell
Symmetry = R-3m
Formation enthalpy at 0 K = -0.24 eV per atom
Crystal system = trigonal



(6)
DFT (PBE-GGA) results for a geometry-optimized Cs2Sc3CuF12 structure.

The structure in POSCAR format:
```
Cs2Sc3CuF12
1.0
3.911 2.258 6.186
-3.911 2.258 6.186
0.000 -4.516 6.186
Cs Sc Cu F
2 3 1 12
direct
0.131 0.131 0.131
0.869 0.869 0.869
0.000 0.500 0.500
0.500 0.000 0.500
0.500 0.500 0.000
0.500 0.500 0.500
0.147 0.586 0.586
0.193 0.193 0.573
0.193 0.573 0.193
0.414 0.414 0.853
0.414 0.853 0.414
0.427 0.807 0.807
0.573 0.193 0.193
0.586 0.147 0.586
0.586 0.586 0.147
0.807 0.427 0.807
0.807 0.807 0.427
0.853 0.414 0.414
```

Electronic total energy = -108.04 eV/cell
Formation energy (no corrections) = -5865 kJ/mol of formula units
Symmetry = R-3m
Crystal system = trigonal